[1]
Entry from Alexandria via LeMat-Bulk: BiNCl2 after structural relaxation (PBE).

The calculation puts the formation energy without anion corrections at 1.51 eV/f.u. For the energy above the most stable polymorph in this dataset, the calculation gives 0.0000 eV/atom. As for the density: 3.7 g cm⁻³.

It has space group C2/m (No. 12), with a = 15.187 Å, b = 4.065 Å, c = 8.707 Å, α = 90.00°, β = 97.21° and γ = 90.00°. The asymmetric unit holds Bi at (0.125, 0.000, 0.309), N at (0.122, 0.000, 0.053), Cl at (0.002, 0.500, 0.266) and Cl at (0.249, 0.500, 0.304).

---

[2]
Entry from Alexandria via LeMat-Bulk: BiNCl2 after structural relaxation (PBE).

The calculation puts the formation energy without anion corrections at 3.97 eV/f.u. For the energy above the most stable polymorph in this dataset, the calculation gives 0.6139 eV/atom. As for the density: 5.4 g cm⁻³.

It has space group I4_1/amd (No. 141, origin choice 2), with a = 6.284 Å, b = 6.284 Å, c = 9.071 Å, α = 90.00°, β = 90.00° and γ = 90.00°. The asymmetric unit holds Bi at (0.000, 0.250, 0.375), N at (0.000, 0.250, 0.875) and Cl at (0.000, 0.000, 0.000).

---

[3]
Entry from Alexandria via LeMat-Bulk: BiN2Cl4 after structural relaxation (PBE).

The calculation puts the formation energy without anion corrections at 3.83 eV/f.u. As for the density: 2.9 g cm⁻³.

It has space group P-1 (No. 2), with a = 3.623 Å, b = 4.064 Å, c = 15.109 Å, α = 86.47°, β = 83.41° and γ = 88.67°. The asymmetric unit holds Bi at (0.000, 0.000, 0.000), N at (0.268, 0.792, 0.417), Cl at (0.057, 0.527, 0.876) and Cl at (0.466, 0.025, 0.337).

---

[4]
Entry from Alexandria via LeMat-Bulk: BiNCl2 after structural relaxation (PBE).

The calculation puts the formation energy without anion corrections at 3.76 eV/f.u. For the energy above the most stable polymorph in this dataset, the calculation gives 0.5618 eV/atom. As for the density: 5.0 g cm⁻³.

It has space group R-3m (No. 166, hexagonal axes), with a = 3.5843 Å, b = 3.5843 Å, c = 26.1835 Å, α = 90.00°, β = 90.00° and γ = 120.00°. The asymmetric unit holds Bi at (0.0000, 0.0000, 0.0000), N at (0.0000, 0.0000, 0.5000) and Cl at (0.0000, 0.0000, 0.4199).

---

[5]
Entry from Alexandria via LeMat-Bulk: NbBi2NCl after structural relaxation (PBE).

The calculation puts the formation energy without anion corrections at 1.83 eV/f.u. As for the density: 8.0 g cm⁻³.

It has space group P4/mmm (No. 123), with a = 5.351 Å, b = 5.351 Å, c = 4.069 Å, α = 90.00°, β = 90.00° and γ = 90.00°. The asymmetric unit holds Nb at (0.000, 0.000, 0.000), Bi at (0.000, 0.500, 0.500), N at (0.000, 0.000, 0.500) and Cl at (0.500, 0.500, 0.000).

---

[6]
Entry from Alexandria via LeMat-Bulk: BiPbN2Cl after structural relaxation (PBE).

The calculation puts the formation energy without anion corrections at 9.71 eV/f.u. As for the density: 7.3 g cm⁻³.

It has space group P4/mmm (No. 123), with a = 4.519 Å, b = 4.519 Å, c = 5.347 Å, α = 90.00°, β = 90.00° and γ = 90.00°. The asymmetric unit holds Bi at (0.000, 0.000, 0.000), Pb at (0.500, 0.500, 0.000), N at (0.000, 0.500, 0.500) and Cl at (0.500, 0.500, 0.500).

---

[7]
Entry from Alexandria via LeMat-Bulk: RbBi2NCl after structural relaxation (PBE).

The calculation puts the formation energy without anion corrections at 8.10 eV/f.u. As for the density: 3.5 g cm⁻³.

It has space group P4/mmm (No. 123), with a = 7.004 Å, b = 7.004 Å, c = 5.338 Å, α = 90.00°, β = 90.00° and γ = 90.00°. The asymmetric unit holds Rb at (0.000, 0.000, 0.000), Bi at (0.000, 0.500, 0.000), N at (0.000, 0.000, 0.500) and Cl at (0.500, 0.500, 0.500).

---

[8]
Entry from Alexandria via LeMat-Bulk: Rb2BiNCl6 after structural relaxation (PBE).

The calculation puts the formation energy without anion corrections at -7.10 eV/f.u. As for the density: 3.3 g cm⁻³.

It has space group I4/mmm (No. 139), with a = 8.237 Å, b = 8.237 Å, c = 9.094 Å, α = 90.00°, β = 90.00° and γ = 90.00°. The asymmetric unit holds Rb at (0.000, 0.500, 0.250), Bi at (0.000, 0.000, 0.000), N at (0.000, 0.000, 0.500), Cl at (0.000, 0.000, 0.285) and Cl at (0.232, 0.232, 0.000).

---

[9]
Entry from Alexandria via LeMat-Bulk: BiSNCl2 after structural relaxation (PBE).

The calculation puts the formation energy without anion corrections at 3.87 eV/f.u. For the energy above the most stable polymorph in this dataset, the calculation gives 0.0000 eV/atom. As for the density: 6.0 g cm⁻³.

It has space group P4/mmm (No. 123), with a = 4.457 Å, b = 4.457 Å, c = 4.578 Å, α = 90.00°, β = 90.00° and γ = 90.00°. The asymmetric unit holds Bi at (0.000, 0.000, 0.000), S at (0.500, 0.500, 0.000), N at (0.500, 0.500, 0.500) and Cl at (0.000, 0.500, 0.500).

---

[10]
Entry from Alexandria via LeMat-Bulk: BiSNCl2 after structural relaxation (PBE).

The calculation puts the formation energy without anion corrections at 4.33 eV/f.u. For the energy above the most stable polymorph in this dataset, the calculation gives 0.0903 eV/atom. As for the density: 3.8 g cm⁻³.

It has space group P4/mmm (No. 123), with a = 5.467 Å, b = 5.467 Å, c = 4.804 Å, α = 90.00°, β = 90.00° and γ = 90.00°. The asymmetric unit holds Bi at (0.000, 0.000, 0.000), S at (0.500, 0.500, 0.500), N at (0.000, 0.000, 0.500) and Cl at (0.000, 0.500, 0.000).

---

[11]
Entry from Alexandria via LeMat-Bulk: BiSNCl2 after structural relaxation (PBE).

The calculation puts the formation energy without anion corrections at 4.05 eV/f.u. For the energy above the most stable polymorph in this dataset, the calculation gives 0.0355 eV/atom. As for the density: 3.4 g cm⁻³.

It has space group P4/mmm (No. 123), with a = 5.466 Å, b = 5.466 Å, c = 5.308 Å, α = 90.00°, β = 90.00° and γ = 90.00°. The asymmetric unit holds Bi at (0.000, 0.000, 0.000), S at (0.000, 0.000, 0.500), N at (0.500, 0.500, 0.500) and Cl at (0.000, 0.500, 0.000).

---

[12]
Entry from Alexandria via LeMat-Bulk: ScBiNCl2 after structural relaxation (PBE).

The calculation puts the formation energy without anion corrections at 0.39 eV/f.u. As for the density: 4.5 g cm⁻³.

It has space group P4/mmm (No. 123), with a = 5.806 Å, b = 5.806 Å, c = 3.748 Å, α = 90.00°, β = 90.00° and γ = 90.00°. The asymmetric unit holds Sc at (0.000, 0.000, 0.000), Bi at (0.500, 0.500, 0.000), N at (0.000, 0.000, 0.500) and Cl at (0.000, 0.500, 0.500).

---

[13]
Entry from Alexandria via LeMat-Bulk: BiSeN2Cl after structural relaxation (PBE).

The calculation puts the formation energy without anion corrections at 9.40 eV/f.u. For the energy above the most stable polymorph in this dataset, the calculation gives 0.2639 eV/atom. As for the density: 6.7 g cm⁻³.

It has space group P4/mmm (No. 123), with a = 4.205 Å, b = 4.205 Å, c = 4.898 Å, α = 90.00°, β = 90.00° and γ = 90.00°. The asymmetric unit holds Bi at (0.000, 0.000, 0.000), Se at (0.500, 0.500, 0.000), N at (0.000, 0.500, 0.500) and Cl at (0.500, 0.500, 0.500).

---

[14]
Entry from Alexandria via LeMat-Bulk: BiSeN2Cl after structural relaxation (PBE).

The calculation puts the formation energy without anion corrections at 8.08 eV/f.u. For the energy above the most stable polymorph in this dataset, the calculation gives 0.0000 eV/atom. As for the density: 5.0 g cm⁻³.

It has space group P4/mmm (No. 123), with a = 4.418 Å, b = 4.418 Å, c = 6.000 Å, α = 90.00°, β = 90.00° and γ = 90.00°. The asymmetric unit holds Bi at (0.000, 0.000, 0.000), Se at (0.000, 0.000, 0.500), N at (0.000, 0.500, 0.000) and Cl at (0.500, 0.500, 0.500).